# 1
Compound: InCo2Os
Source: Alexandria
Functional: PBE
Structure: optimized geometry

```
data_InCo2Os
_cell_length_a 2.909
_cell_length_b 2.909
_cell_length_c 6.652
_cell_angle_alpha 90.00
_cell_angle_beta 90.00
_cell_angle_gamma 90.00
_space_group_name_H-M_alt 'P 4 m m'
_space_group_IT_number 99
_space_group_name_Hall 'P 4 -2'
loop_
_atom_site_label
_atom_site_type_symbol
_atom_site_fract_x
_atom_site_fract_y
_atom_site_fract_z
In1 In 0.000 0.000 0.000
Co1 Co 0.000 0.000 0.527
Co2 Co 0.500 0.500 0.729
Os1 Os 0.500 0.500 0.311
```

Results
**ΔE_f**: 0.340 eV per atom
**DOS at the Fermi energy**: 5.49 states/eV/cell

# 2
Compound: BC2
Source: Alexandria
Functional: PBE
Structure: optimized geometry

```
data_BC2
_cell_length_a 8.587
_cell_length_b 2.531
_cell_length_c 7.937
_cell_angle_alpha 90.00
_cell_angle_beta 117.60
_cell_angle_gamma 90.00
_space_group_name_H-M_alt 'C 1 m 1'
_space_group_IT_number 8
_space_group_name_Hall 'C -2y'
loop_
_atom_site_label
_atom_site_type_symbol
_atom_site_fract_x
_atom_site_fract_y
_atom_site_fract_z
B1 B 0.000 0.000 0.000
B2 B 0.005 0.000 0.492
B3 B 0.324 0.500 0.551
B4 B 0.334 0.000 0.160
C1 C 0.020 0.500 0.372
C2 C 0.162 0.500 0.830
C3 C 0.163 0.000 0.715
C4 C 0.165 0.500 0.310
C5 C 0.172 0.000 0.209
C6 C 0.326 0.000 0.679
C7 C 0.327 0.500 0.021
C8 C 0.496 0.000 0.857
```

Results
**Offset from the most stable computed form**: 117 meV/atom
**ΔE_f**: 0.357 eV per atom
**DOS at the Fermi energy**: 2.51 states/eV/cell

# 3
Compound: KBaTaMn2
Source: Alexandria
Functional: PBE
Structure: optimized geometry

```
data_KBaTaMn2
_cell_length_a 4.938
_cell_length_b 4.938
_cell_length_c 6.089
_cell_angle_alpha 90.00
_cell_angle_beta 90.00
_cell_angle_gamma 90.00
_space_group_name_H-M_alt 'P 4/m m m'
_space_group_IT_number 123
_space_group_name_Hall '-P 4 2'
loop_
_atom_site_label
_atom_site_type_symbol
_atom_site_fract_x
_atom_site_fract_y
_atom_site_fract_z
K1 K 0.000 0.000 0.000
Ba1 Ba 0.500 0.500 0.000
Ta1 Ta 0.000 0.000 0.500
Mn1 Mn 0.000 0.500 0.500
```

Results
**ΔE_f**: 1.083 eV per atom
**DOS at the Fermi energy**: 4.34 states/eV/cell

# 4
Compound: Na2Tb3PmSe6
Source: Alexandria
Functional: PBE
Structure: optimized geometry

```
data_Na2Tb3PmSe6
_cell_length_a 7.166
_cell_length_b 12.400
_cell_length_c 7.257
_cell_angle_alpha 90.00
_cell_angle_beta 109.18
_cell_angle_gamma 90.00
_space_group_name_H-M_alt 'C 1 2/m 1'
_space_group_IT_number 12
_space_group_name_Hall '-C 2y'
loop_
_atom_site_label
_atom_site_type_symbol
_atom_site_fract_x
_atom_site_fract_y
_atom_site_fract_z
Na1 Na 0.000 0.166 0.000
Tb1 Tb 0.000 0.000 0.500
Tb2 Tb 0.000 0.332 0.500
Pm1 Pm 0.000 0.500 0.000
Se1 Se 0.246 0.500 0.740
Se2 Se 0.248 0.167 0.743
```

Results
**DOS at the Fermi energy**: 6.04 states/eV/cell
**ΔE_f (raw)**: -1.734 eV per atom

# 5
Compound: CePu2Pd
Source: Alexandria
Functional: PBE
Structure: optimized geometry

```
data_CePu2Pd
_cell_length_a 3.548
_cell_length_b 3.548
_cell_length_c 7.379
_cell_angle_alpha 90.00
_cell_angle_beta 90.00
_cell_angle_gamma 90.00
_space_group_name_H-M_alt 'P 4/m m m'
_space_group_IT_number 123
_space_group_name_Hall '-P 4 2'
loop_
_atom_site_label
_atom_site_type_symbol
_atom_site_fract_x
_atom_site_fract_y
_atom_site_fract_z
Ce1 Ce 0.000 0.000 0.000
Pu1 Pu 0.500 0.500 0.275
Pd1 Pd 0.000 0.000 0.500
```

Results
**Offset from the most stable computed form**: 51 meV/atom
**ΔE_f**: -0.138 eV per atom
**DOS at the Fermi energy**: 13.45 states/eV/cell

# 6
Compound: Tb2ErPd
Source: Alexandria
Functional: PBE
Structure: optimized geometry

```
data_Tb2ErPd
_cell_length_a 3.4163
_cell_length_b 3.4163
_cell_length_c 32.9375
_cell_angle_alpha 90.00
_cell_angle_beta 90.00
_cell_angle_gamma 120.00
_space_group_name_H-M_alt 'R -3 m'
_space_group_IT_number 166
_space_group_name_Hall '-R 3 2"'
loop_
_atom_site_label
_atom_site_type_symbol
_atom_site_fract_x
_atom_site_fract_y
_atom_site_fract_z
Tb1 Tb 0.0000 0.0000 0.0796
Er1 Er 0.0000 0.0000 0.5000
Pd1 Pd 0.0000 0.0000 0.0000
```

Results
**Offset from the most stable computed form**: 520 meV/atom
**ΔE_f**: 0.049 eV per atom
**DOS at the Fermi energy**: 8.27 states/eV/cell

# 7
Compound: NdPuGaAu
Source: Alexandria
Functional: PBE
Structure: optimized geometry

```
data_NdPuGaAu
_cell_length_a 7.367
_cell_length_b 7.367
_cell_length_c 7.367
_cell_angle_alpha 90.00
_cell_angle_beta 90.00
_cell_angle_gamma 90.00
_space_group_name_H-M_alt 'F -4 3 m'
_space_group_IT_number 216
_space_group_name_Hall 'F -4 2 3'
loop_
_atom_site_label
_atom_site_type_symbol
_atom_site_fract_x
_atom_site_fract_y
_atom_site_fract_z
Nd1 Nd 0.000 0.000 0.000
Pu1 Pu 0.000 0.000 0.500
Ga1 Ga 0.250 0.250 0.250
Au1 Au 0.250 0.250 0.750
```

Results
**ΔE_f**: -0.433 eV per atom
**DOS at the Fermi energy**: 42.83 states/eV/cell

# 8
Compound: Th4Bi2Te
Source: Alexandria
Functional: PBE
Structure: optimized geometry

```
data_Th4Bi2Te
_cell_length_a 4.300
_cell_length_b 14.378
_cell_length_c 15.202
_cell_angle_alpha 90.00
_cell_angle_beta 90.00
_cell_angle_gamma 90.00
_space_group_name_H-M_alt 'C m c m'
_space_group_IT_number 63
_space_group_name_Hall '-C 2c 2'
loop_
_atom_site_label
_atom_site_type_symbol
_atom_site_fract_x
_atom_site_fract_y
_atom_site_fract_z
Th1 Th 0.000 0.000 0.000
Th2 Th 0.000 0.302 0.149
Th3 Th 0.000 0.403 0.750
Bi1 Bi 0.000 0.341 0.554
Te1 Te 0.000 0.064 0.750
```

Results
**Offset from the most stable computed form**: 56 meV/atom
**DOS at the Fermi energy**: 23.58 states/eV/cell
**ΔE_f (raw)**: -0.369 eV per atom

# 9
Compound: MnTlOs2
Source: Alexandria
Functional: PBE
Structure: optimized geometry

```
data_MnTlOs2
_cell_length_a 3.067
_cell_length_b 4.579
_cell_length_c 9.175
_cell_angle_alpha 90.00
_cell_angle_beta 90.00
_cell_angle_gamma 90.00
_space_group_name_H-M_alt 'I m m 2'
_space_group_IT_number 44
_space_group_name_Hall 'I 2 -2'
loop_
_atom_site_label
_atom_site_type_symbol
_atom_site_fract_x
_atom_site_fract_y
_atom_site_fract_z
Mn1 Mn 0.000 0.000 0.000
Tl1 Tl 0.000 0.500 0.241
Os1 Os 0.000 0.000 0.477
Os2 Os 0.000 0.500 0.738
```

Results
**Offset from the most stable computed form**: 314 meV/atom
**ΔE_f**: 0.799 eV per atom
**DOS at the Fermi energy**: 6.49 states/eV/cell

# 10
Compound: HI2Br
Source: Alexandria
Functional: PBE
Structure: optimized geometry

```
data_HI2Br
_cell_length_a 8.362
_cell_length_b 5.309
_cell_length_c 15.966
_cell_angle_alpha 90.00
_cell_angle_beta 97.64
_cell_angle_gamma 90.00
_space_group_name_H-M_alt 'P 1 2/c 1'
_space_group_IT_number 13
_space_group_name_Hall '-P 2yc'
loop_
_atom_site_label
_atom_site_type_symbol
_atom_site_fract_x
_atom_site_fract_y
_atom_site_fract_z
H1 H 0.005 0.028 0.126
I1 I 0.170 0.136 0.624
I2 I 0.310 0.225 0.346
Br1 Br 0.353 0.312 0.897
```

Results
**Offset from the most stable computed form**: 0 meV/atom
**DOS at the Fermi energy**: 0.20 states/eV/cell

# 11
Compound: PrDy2In
Source: Alexandria
Functional: PBE
Structure: optimized geometry

```
data_PrDy2In
_cell_length_a 3.6396
_cell_length_b 3.6396
_cell_length_c 32.7802
_cell_angle_alpha 90.00
_cell_angle_beta 90.00
_cell_angle_gamma 120.00
_space_group_name_H-M_alt 'R 3 m'
_space_group_IT_number 160
_space_group_name_Hall 'R 3 -2"'
loop_
_atom_site_label
_atom_site_type_symbol
_atom_site_fract_x
_atom_site_fract_y
_atom_site_fract_z
Pr1 Pr 0.0000 0.0000 0.0000
Dy1 Dy 0.0000 0.0000 0.2422
Dy2 Dy 0.0000 0.0000 0.4241
In1 In 0.0000 0.0000 0.8335
```

Results
**Offset from the most stable computed form**: 130 meV/atom
**ΔE_f**: -0.132 eV per atom
**DOS at the Fermi energy**: 17.22 states/eV/cell

# 12
Compound: MnBeTl2
Source: Alexandria
Functional: PBE
Structure: optimized geometry

```
data_MnBeTl2
_cell_length_a 3.334
_cell_length_b 3.334
_cell_length_c 6.998
_cell_angle_alpha 90.00
_cell_angle_beta 90.00
_cell_angle_gamma 90.00
_space_group_name_H-M_alt 'P 4/m m m'
_space_group_IT_number 123
_space_group_name_Hall '-P 4 2'
loop_
_atom_site_label
_atom_site_type_symbol
_atom_site_fract_x
_atom_site_fract_y
_atom_site_fract_z
Mn1 Mn 0.000 0.000 0.000
Be1 Be 0.000 0.000 0.500
Tl1 Tl 0.500 0.500 0.265
```

Results
**Offset from the most stable computed form**: 256 meV/atom
**ΔE_f**: 0.684 eV per atom
**DOS at the Fermi energy**: 2.65 states/eV/cell

Please write out number 9 again, unchanged.
Compound: MnTlOs2
Source: Alexandria
Functional: PBE
Structure: optimized geometry

```
data_MnTlOs2
_cell_length_a 3.067
_cell_length_b 4.579
_cell_length_c 9.175
_cell_angle_alpha 90.00
_cell_angle_beta 90.00
_cell_angle_gamma 90.00
_space_group_name_H-M_alt 'I m m 2'
_space_group_IT_number 44
_space_group_name_Hall 'I 2 -2'
loop_
_atom_site_label
_atom_site_type_symbol
_atom_site_fract_x
_atom_site_fract_y
_atom_site_fract_z
Mn1 Mn 0.000 0.000 0.000
Tl1 Tl 0.000 0.500 0.241
Os1 Os 0.000 0.000 0.477
Os2 Os 0.000 0.500 0.738
```

Results
**Offset from the most stable computed form**: 314 meV/atom
**ΔE_f**: 0.799 eV per atom
**DOS at the Fermi energy**: 6.49 states/eV/cell